AcNiB2C PBE relaxed; energy of formation = -190 meV per atom
1.0
3.7548 0.0000 0.0000
-1.8774 5.4457 0.0000
0.0000 0.0000 6.8893
Ac Ni B C
2 2 4 2
Direct
0.3788 0.7576 0.7500
0.6212 0.2424 0.2500
0.6576 0.3152 0.7500
0.3424 0.6848 0.2500
0.1081 0.2162 0.8752
0.8919 0.7838 0.1248
0.1081 0.2162 0.6248
0.8919 0.7838 0.3752
0.0000 0.0000 0.0000
0.0000 0.0000 0.5000